Entry 1:
Computed, not measured: an optimized crystal structure of Be17CoRu at the GGA-PBE level of DFT.

Summary:
formation energy from the elements	-0.1446	eV per atom

abc: 5.422 5.422 5.422
angles: 82.60 82.60 82.60
Fractional coordinates of all 19 atoms:
Be1 0.049 0.049 0.049
Be2 0.151 0.462 0.849
Be3 0.151 0.849 0.462
Be4 0.157 0.157 0.652
Be5 0.157 0.652 0.157
Be6 0.256 0.256 0.256
Be7 0.313 0.804 0.804
Be8 0.462 0.151 0.849
Be9 0.462 0.849 0.151
Be10 0.504 0.504 0.991
Be11 0.504 0.991 0.504
Be12 0.652 0.157 0.157
Be13 0.804 0.313 0.804
Be14 0.804 0.804 0.313
Be15 0.849 0.151 0.462
Be16 0.849 0.462 0.151
Be17 0.991 0.504 0.504
Co1 0.814 0.814 0.814
Ru1 0.491 0.491 0.491

---

Entry 2:
Computed, not measured: an optimized crystal structure of LiPmErS3 at the GGA-PBE level of DFT.

Summary:
formation energy without anion corrections	-10.94	eV/f.u.

abc: 8.058 3.836 8.399
angles: 90.00 102.76 90.00
Fractional coordinates of all 12 atoms:
Li1 0.087 0.250 0.084
Li2 0.913 0.750 0.916
Pm1 0.189 0.250 0.723
Pm2 0.811 0.750 0.277
Er1 0.336 0.750 0.335
Er2 0.664 0.250 0.665
S1 0.099 0.250 0.367
S2 0.217 0.750 0.999
S3 0.431 0.750 0.670
S4 0.569 0.250 0.330
S5 0.783 0.250 0.001
S6 0.901 0.750 0.633

---

Entry 3:
Computed, not measured: an optimized crystal structure of HfNi2Ag2 at the GGA-PBE level of DFT.

Summary:
E above lowest polymorph	278	meV per atom
formation energy from the elements	0.3213	eV per atom

abc: 3.610 3.610 12.721
angles: 90.00 90.00 90.00
Fractional coordinates of all 10 atoms:
Hf1 0.000 0.000 0.000
Hf2 0.500 0.500 0.500
Ni1 0.000 0.500 0.250
Ni2 0.000 0.500 0.750
Ni3 0.500 0.000 0.250
Ni4 0.500 0.000 0.750
Ag1 0.000 0.000 0.394
Ag2 0.000 0.000 0.606
Ag3 0.500 0.500 0.106
Ag4 0.500 0.500 0.894

---

Entry 4:
Computed, not measured: an optimized crystal structure of Cs2ZrF6 at the GGA-PBE level of DFT.

Summary:
formation energy without anion corrections	-30.56	eV/f.u.

abc: 6.768 8.422 8.464
angles: 90.00 118.45 90.00
Fractional coordinates of all 18 atoms:
Cs1 0.181 0.057 0.320
Cs2 0.181 0.443 0.820
Cs3 0.819 0.557 0.180
Cs4 0.819 0.943 0.680
Zr1 0.500 0.000 0.000
Zr2 0.500 0.500 0.500
F1 0.219 0.113 0.977
F2 0.219 0.387 0.477
F3 0.329 0.711 0.445
F4 0.329 0.789 0.945
F5 0.385 0.033 0.731
F6 0.385 0.467 0.231
F7 0.615 0.533 0.769
F8 0.615 0.967 0.269
F9 0.671 0.211 0.055
F10 0.671 0.289 0.555
F11 0.781 0.613 0.523
F12 0.781 0.887 0.023

---

| no. | density of states at the Fermi level (states/eV per atom) |
| --- | --- |
| 1 | 0.067 |
| 2 | 0.299 |
| 3 | 0.896 |
| 4 | 0.000 |